[1]
A geometry-optimized MnCo2Ni structure. Source: Alexandria via LeMat-Bulk, functional GGA-PBEsol.

Computed properties:
- Fermi-level density of states: 1.454 states/eV/atom
- Formation enthalpy at 0 K: 0.147 eV per atom
- Density: 8.88 Mg/m³
- E: -7.701 eV/atom

Cell lengths 4.674, 4.674, 2.408 Å; angles 100.67, 100.67, 118.13 degrees
Positions (direct):
Mn 0.000 0.000 0.000
Co 0.000 0.500 0.500
Co 0.500 0.000 0.500
Ni 0.500 0.500 0.000

---

[2]
A geometry-optimized Mn2CoNi structure. Source: Alexandria via LeMat-Bulk, functional GGA-PBEsol.

Computed properties:
- Fermi-level density of states: 0.891 states/eV/atom
- Formation enthalpy at 0 K: -0.008 eV per atom
- Density: 8.84 Mg/m³
- E: -8.362 eV/atom
- Energy above the most stable polymorph in this dataset: 0 meV per atom

Cell lengths 4.303, 4.303, 4.303 Å; angles 132.29, 132.29, 69.76 degrees
Positions (direct):
Mn 0.000 0.000 0.000
Mn 0.750 0.250 0.500
Co 0.250 0.750 0.500
Ni 0.500 0.500 0.000